The following is a DFT calculation (PBE) of crystalline Er4Zn2Ga at its relaxed geometry.

Cell and atoms, written as POSCAR:
```
Er4Zn2Ga
1.0
5.734 0.008 -2.013
-2.856 4.957 -2.051
0.004 -0.008 6.077
Er Zn Ga
4 2 1
Direct
0.500 0.000 0.000
0.500 0.500 0.500
0.000 0.000 0.500
0.000 0.500 0.000
0.500 0.500 0.000
0.500 0.000 0.500
0.000 0.000 0.000
```

Computed properties:
**Relative energy among the computed polymorphs**: 0.0 meV per atom
**Raw total energy**: -25.98 eV/f.u.
**Space group**: No. 139
**M_tot**: 0.00 μB/cell
**E_form**: -208 kJ/mol of formula units


The following is a DFT calculation (PBE) of crystalline TiNb2Pd2 at its relaxed geometry.

Cell and atoms, written as POSCAR:
```
TiNb2Pd2
1.0
7.808 0.000 0.000
0.000 7.808 0.000
0.000 0.000 2.880
Pd Ti Nb
4 2 4
Direct
0.623 0.123 0.000
0.877 0.623 0.000
0.377 0.877 0.000
0.123 0.377 0.000
0.500 0.500 0.000
0.000 0.000 0.000
0.675 0.825 0.500
0.325 0.175 0.500
0.175 0.675 0.500
0.825 0.325 0.500
```

Computed properties:
**Relative energy among the computed polymorphs**: 110.2 meV per atom
**Raw total energy**: -38.79 eV/f.u.
**Space group**: No. 127
**M_tot**: 2.73 μB/cell
**E_form**: -36 kJ/mol of formula units


The following is a DFT calculation (PBE) of crystalline Ac2PrHg4 at its relaxed geometry.

Cell and atoms, written as POSCAR:
```
Ac2PrHg4
1.0
5.190 0.000 1.621
2.342 4.632 1.621
-0.235 -0.145 9.869
Ac Hg Pr
2 4 1
Direct
0.244 0.244 0.269
0.756 0.756 0.731
0.630 0.630 0.109
0.875 0.875 0.376
0.125 0.125 0.624
0.370 0.370 0.891
0.000 0.000 0.000
```

Computed properties:
**Relative energy among the computed polymorphs**: 0.0 meV per atom
**Raw total energy**: -16.68 eV/f.u.
**Space group**: No. 166
**M_tot**: 0.00 μB/cell
**E_form**: -239 kJ/mol of formula units


The following is a DFT calculation (PBE) of crystalline Cs6PaI12 at its relaxed geometry.

Cell and atoms, written as POSCAR:
```
Cs6PaI12
1.0
10.586 2.618 -1.480
-2.000 10.720 -1.480
1.685 2.618 10.556
I Cs Pa
12 6 1
Direct
0.154 0.196 0.896
0.196 0.896 0.154
0.996 0.490 0.259
0.846 0.804 0.104
0.490 0.259 0.996
0.104 0.846 0.804
0.004 0.510 0.741
0.259 0.996 0.490
0.804 0.104 0.846
0.741 0.004 0.510
0.510 0.741 0.004
0.896 0.154 0.196
0.242 0.533 0.993
0.758 0.467 0.007
0.007 0.758 0.467
0.993 0.242 0.533
0.533 0.993 0.242
0.467 0.007 0.758
0.000 0.000 0.000
```

Computed properties:
**Raw total energy**: -56.10 eV/f.u.
**Space group**: No. 148
**Raw formation energy**: -1.205 eV/atom
**M_tot**: 1.38 μB/cell


The following is a DFT calculation (PBE) of crystalline LaTbNd at its relaxed geometry.

Cell and atoms, written as POSCAR:
```
LaTbNd
1.0
3.661 0.000 0.000
-1.830 3.170 0.000
0.000 0.000 8.985
Nd La Tb
1 1 1
Direct
0.000 0.000 0.007
0.333 0.667 0.662
0.667 0.333 0.331
```

Computed properties:
**Relative energy among the computed polymorphs**: 0.0 meV per atom
**Raw total energy**: -14.27 eV/f.u.
**Space group**: No. 156
**M_tot**: 0.00 μB/cell
**E_form**: 5 kJ/mol of formula units


The following is a DFT calculation (PBE) of crystalline NdSm2Al2In2 at its relaxed geometry.

Cell and atoms, written as POSCAR:
```
NdSm2Al2In2
1.0
-2.952 -0.788 -3.604
1.406 -2.611 -3.678
-3.785 -9.133 2.001
Al Nd Sm In
2 1 2 2
Direct
0.400 0.400 0.799
0.600 0.600 0.201
0.000 0.000 0.000
0.130 0.130 0.610
0.870 0.870 0.390
0.260 0.260 0.220
0.740 0.740 0.780
```

Computed properties:
**Raw total energy**: -29.09 eV/f.u.
**Space group**: No. 166
**M_tot**: 0.00 μB/cell
**E_form**: -186 kJ/mol of formula units


The following is a DFT calculation (PBE) of crystalline RbCuTc2 at its relaxed geometry.

Cell and atoms, written as POSCAR:
```
RbCuTc2
1.0
-0.692 -2.080 3.869
4.004 1.312 1.421
-2.286 7.704 6.287
Rb Cu Tc
2 2 4
Direct
0.000 0.000 0.000
0.750 0.250 0.500
0.250 0.750 0.500
0.500 0.500 0.000
0.875 0.553 0.750
0.303 0.125 0.250
0.375 0.697 0.750
0.447 0.625 0.250
```

Computed properties:
**Relative energy among the computed polymorphs**: 0.0 meV per atom
**Raw total energy**: -19.98 eV/f.u.
**Space group**: No. 122
**M_tot**: 0.00 μB/cell
**E_form**: 561 kJ/mol of formula units


The following is a DFT calculation (PBE) of crystalline DyHfZnOs at its relaxed geometry.

Cell and atoms, written as POSCAR:
```
DyHfZnOs
1.0
4.772 0.000 0.000
2.386 4.133 0.000
2.386 1.378 3.896
Zn Os Dy Hf
1 1 1 1
Direct
0.750 0.750 0.750
0.250 0.250 0.250
0.000 0.000 0.000
0.500 0.500 0.500
```

Computed properties:
**Raw total energy**: -28.24 eV/f.u.
**Space group**: No. 216
**M_tot**: 0.00 μB/cell
**E_form**: -114 kJ/mol of formula units


The following is a DFT calculation (PBE) of crystalline CaCu2P2S7 at its relaxed geometry.

Cell and atoms, written as POSCAR:
```
CaCu2P2S7
1.0
-3.596 3.584 -3.594
-6.043 -1.322 -0.655
-5.200 6.176 5.980
P S Cu Ca
2 7 2 1
Direct
0.924 0.924 0.229
0.076 0.076 0.771
0.404 0.113 0.715
0.113 0.768 0.715
0.768 0.404 0.715
0.000 0.000 0.000
0.596 0.232 0.285
0.232 0.887 0.285
0.887 0.596 0.285
0.243 0.243 0.272
0.757 0.757 0.728
0.500 0.500 0.500
```

Computed properties:
**Raw total energy**: -54.57 eV/f.u.
**Space group**: No. 155
**Raw formation energy**: -0.389 eV/atom
**M_tot**: 0.00 μB/cell


The following is a DFT calculation (PBE) of crystalline LiEr6Zn5 at its relaxed geometry.

Cell and atoms, written as POSCAR:
```
LiEr6Zn5
1.0
-4.888 0.664 0.860
1.082 -1.067 6.968
-1.277 7.696 1.377
Zn Er Li
5 6 1
Direct
0.339 0.000 0.322
0.661 0.000 0.678
0.000 0.500 0.000
0.666 0.500 0.669
0.334 0.500 0.331
0.169 0.749 0.661
0.500 0.257 0.000
0.831 0.749 0.339
0.831 0.251 0.339
0.500 0.743 0.000
0.169 0.251 0.661
0.000 0.000 0.000
```

Computed properties:
**Raw total energy**: -39.03 eV/f.u.
**Space group**: No. 65
**M_tot**: 0.00 μB/cell
**E_form**: -325 kJ/mol of formula units


The following is a DFT calculation (PBE) of crystalline RbSmCrN3 at its relaxed geometry.

Cell and atoms, written as POSCAR:
```
RbSmCrN3
1.0
3.736 0.000 0.000
-1.868 6.709 -0.053
0.000 -2.021 8.050
Sm Rb Cr N
2 2 2 6
Direct
0.340 0.679 0.412
0.660 0.321 0.588
0.637 0.275 0.069
0.363 0.725 0.931
0.991 0.982 0.661
0.009 0.018 0.339
0.122 0.244 0.776
0.487 0.974 0.645
0.878 0.756 0.224
0.513 0.026 0.355
0.847 0.694 0.633
0.153 0.306 0.367
```

Computed properties:
**Raw total energy**: -42.96 eV/f.u.
**Space group**: No. 12
**Raw formation energy**: -0.446 eV/atom
**M_tot**: 0.01 μB/cell


The following is a DFT calculation (PBE) of crystalline Ti2Zn2As at its relaxed geometry.

Cell and atoms, written as POSCAR:
```
Ti2Zn2As
1.0
-2.241 -5.210 -3.168
2.993 -3.881 4.264
-3.142 0.007 2.211
Zn As Ti
4 2 4
Direct
0.629 0.129 0.000
0.371 0.871 0.000
0.871 0.629 0.000
0.129 0.371 0.000
0.000 0.000 0.000
0.500 0.500 0.000
0.671 0.829 0.500
0.829 0.329 0.500
0.171 0.671 0.500
0.329 0.171 0.500
```

Computed properties:
**Relative energy among the computed polymorphs**: 160.0 meV per atom
**Raw total energy**: -23.48 eV/f.u.
**Space group**: No. 127
**M_tot**: 0.00 μB/cell
**E_form**: -48 kJ/mol of formula units


The following is a DFT calculation (PBE) of crystalline TmZr2Mo at its relaxed geometry.

Cell and atoms, written as POSCAR:
```
TmZr2Mo
1.0
3.314 0.000 0.000
1.657 2.870 0.000
1.657 0.957 9.607
Zr Mo Tm
2 1 1
Direct
0.263 0.263 0.210
0.737 0.737 0.790
0.000 0.000 0.000
0.500 0.500 0.500
```

Computed properties:
**Relative energy among the computed polymorphs**: 136.5 meV per atom
**Raw total energy**: -31.62 eV/f.u.
**Space group**: No. 166
**M_tot**: 0.00 μB/cell
**E_form**: 75 kJ/mol of formula units


The following is a DFT calculation (PBE) of crystalline InAgO2 at its relaxed geometry.

Cell and atoms, written as POSCAR:
```
InAgO2
1.0
-1.247 6.448 0.172
-1.132 5.547 3.334
1.656 6.130 1.687
Ag O In
1 2 1
Direct
0.158 0.158 0.158
0.274 0.274 0.274
0.729 0.729 0.729
0.998 0.998 0.998
```

Computed properties:
**Raw total energy**: -19.24 eV/f.u.
**Space group**: No. 160
**Raw formation energy**: -0.934 eV/atom
**M_tot**: 0.00 μB/cell


The following is a DFT calculation (PBE) of crystalline YTlNiCl2 at its relaxed geometry.

Cell and atoms, written as POSCAR:
```
YTlNiCl2
1.0
-5.259 -0.488 0.026
0.085 -1.186 -5.109
0.481 -5.122 1.197
Y Cl Tl Ni
1 2 1 1
Direct
0.000 0.000 0.000
0.000 0.000 0.500
0.500 0.000 0.000
0.500 0.500 0.500
0.000 0.500 0.000
```

Computed properties:
**Raw total energy**: -21.66 eV/f.u.
**Space group**: No. 123
**Raw formation energy**: -0.671 eV/atom
**M_tot**: 0.00 μB/cell


The following is a DFT calculation (PBE) of crystalline Sm4GeTe2Br at its relaxed geometry.

Cell and atoms, written as POSCAR:
```
Sm4GeTe2Br
1.0
4.324 0.000 0.000
0.000 7.595 -0.192
0.000 2.636 7.063
Sm Ge Br Te
4 1 1 2
Direct
0.000 0.266 0.267
0.500 0.277 0.724
0.000 0.734 0.733
0.500 0.723 0.276
0.000 0.500 0.500
0.500 0.500 0.000
0.500 0.000 0.500
0.000 0.000 0.000
```

Computed properties:
**Raw total energy**: -41.50 eV/f.u.
**Space group**: No. 10
**Raw formation energy**: -1.257 eV/atom
**M_tot**: 0.00 μB/cell


The following is a DFT calculation (PBE) of crystalline CePmPr2Dy5 at its relaxed geometry.

Cell and atoms, written as POSCAR:
```
CePmPr2Dy5
1.0
8.676 0.000 0.000
0.000 8.676 0.000
-4.338 -4.338 7.850
Pr Dy Ce Pm
4 10 2 2
Direct
0.621 0.121 0.000
0.879 0.621 0.000
0.121 0.379 0.000
0.379 0.879 0.000
0.000 0.000 0.000
0.345 0.845 0.281
0.845 0.936 0.281
0.064 0.564 0.719
0.564 0.655 0.719
0.936 0.436 0.281
0.155 0.064 0.719
0.655 0.155 0.719
0.500 0.500 0.000
0.436 0.345 0.281
0.250 0.750 0.500
0.750 0.250 0.500
0.250 0.250 0.500
0.750 0.750 0.500
```

Computed properties:
**Raw total energy**: -40.87 eV/f.u.
**Space group**: No. 140
**M_tot**: 2.07 μB/cell
**E_form**: 230 kJ/mol of formula units


The following is a DFT calculation (PBE) of crystalline LaTlPb2 at its relaxed geometry.

Cell and atoms, written as POSCAR:
```
LaTlPb2
1.0
-2.980 -0.320 -4.769
2.063 -2.805 -4.427
-2.307 -4.897 -1.556
Tl Pb La
1 2 1
Direct
0.750 0.750 0.750
0.250 0.250 0.250
0.000 0.000 0.000
0.500 0.500 0.500
```

Computed properties:
**Raw total energy**: -15.66 eV/f.u.
**Space group**: No. 216
**M_tot**: 0.00 μB/cell
**E_form**: -91 kJ/mol of formula units


The following is a DFT calculation (PBE) of crystalline Be8Rh at its relaxed geometry.

Cell and atoms, written as POSCAR:
```
Be8Rh
1.0
-2.455 -4.072 2.167
2.208 4.638 0.957
-4.257 1.957 -2.314
Be Rh
8 1
Direct
0.000 0.343 0.343
0.674 0.674 0.348
0.326 0.674 0.000
0.000 0.657 0.657
0.343 0.000 0.343
0.674 0.326 0.000
0.657 0.000 0.657
0.326 0.326 0.652
0.000 0.000 0.000
```

Computed properties:
**Raw total energy**: -38.58 eV/f.u.
**Space group**: No. 139
**M_tot**: 0.00 μB/cell
**E_form**: -137 kJ/mol of formula units


The following is a DFT calculation (PBE) of crystalline SiBAsRhS at its relaxed geometry.

Cell and atoms, written as POSCAR:
```
SiBAsRhS
1.0
6.543 0.000 -0.069
0.000 3.105 0.000
-4.444 0.000 8.509
Rh S B Si As
2 2 2 2 2
Direct
0.721 0.500 0.056
0.721 0.000 0.556
0.663 0.500 0.802
0.663 0.000 0.302
0.348 0.000 0.157
0.348 0.500 0.657
0.412 0.500 0.473
0.412 0.000 0.973
0.164 0.500 0.190
0.164 0.000 0.690
```

Computed properties:
**Relative energy among the computed polymorphs**: 175.5 meV per atom
**Raw total energy**: -28.36 eV/f.u.
**Space group**: No. 8
**Raw formation energy**: -0.026 eV/atom
**M_tot**: 0.00 μB/cell


The following is a DFT calculation (PBE) of crystalline ReBr2Cl at its relaxed geometry.

Cell and atoms, written as POSCAR:
```
ReBr2Cl
1.0
-1.938 0.410 -2.677
1.917 -2.631 0.703
-8.503 -4.745 5.429
Br Re Cl
2 1 1
Direct
0.500 0.500 0.248
0.000 0.000 0.928
0.500 0.500 0.746
0.000 0.000 0.578
```

Computed properties:
**Relative energy among the computed polymorphs**: 452.2 meV per atom
**Raw total energy**: -16.09 eV/f.u.
**Space group**: No. 35
**Raw formation energy**: 0.388 eV/atom
**M_tot**: 0.00 μB/cell


The following is a DFT calculation (PBE) of crystalline Ca2AlHg at its relaxed geometry.

Cell and atoms, written as POSCAR:
```
Ca2AlHg
1.0
-0.077 0.347 -3.763
-1.146 -3.548 -0.304
-8.288 -1.249 0.054
Ca Hg Al
2 1 1
Direct
0.000 0.004 0.997
0.000 0.496 0.503
0.500 0.250 0.250
0.500 0.750 0.750
```

Computed properties:
**Relative energy among the computed polymorphs**: 0.0 meV per atom
**Raw total energy**: -9.52 eV/f.u.
**Space group**: No. 10
**M_tot**: 0.00 μB/cell
**E_form**: -142 kJ/mol of formula units


The following is a DFT calculation (PBE) of crystalline YTiCl3 at its relaxed geometry.

Cell and atoms, written as POSCAR:
```
YTiCl3
1.0
-4.052 -1.725 -2.212
2.797 -2.776 -2.959
-0.210 -3.689 3.261
Cl Ti Y
3 1 1
Direct
0.000 0.000 0.500
0.000 0.500 0.000
0.500 0.000 0.000
0.000 0.000 0.000
0.500 0.500 0.500
```

Computed properties:
**Relative energy among the computed polymorphs**: 0.0 meV per atom
**Raw total energy**: -24.00 eV/f.u.
**Space group**: No. 221
**Raw formation energy**: -0.821 eV/atom
**M_tot**: 3.85 μB/cell


The following is a DFT calculation (PBE) of crystalline Nd6Co2NiCl3 at its relaxed geometry.

Cell and atoms, written as POSCAR:
```
Nd6Co2NiCl3
1.0
3.991 0.000 0.000
0.000 8.820 -0.269
-1.996 -3.154 8.935
Nd Co Ni Cl
6 2 1 3
Direct
0.679 0.554 0.358
0.988 0.773 0.975
0.659 0.113 0.317
0.321 0.446 0.642
0.012 0.227 0.025
0.341 0.887 0.683
0.165 0.330 0.331
0.835 0.670 0.669
0.500 0.000 0.000
0.500 0.500 0.000
0.833 0.167 0.666
0.167 0.833 0.334
```

Computed properties:
**Raw total energy**: -64.46 eV/f.u.
**Space group**: No. 12
**Raw formation energy**: -0.860 eV/atom
**M_tot**: 0.00 μB/cell